(1)
The following is a PBE-GGA calculation of a relaxed Ce5AlSn3 crystal, from the Alexandria database.

Results
* E_form: -526 meV per atom

abc: 6.460 9.497 9.497
angles: 120.00 90.00 90.00
Positions (direct):
Sn 0.250 0.629 0.629
Sn 0.750 0.371 0.371
Sn 0.250 0.000 0.371
Sn 0.750 0.629 0.000
Sn 0.750 0.000 0.629
Sn 0.250 0.371 0.000
Ce 0.250 0.721 0.000
Ce 0.500 0.333 0.667
Ce 0.250 0.000 0.721
Ce 0.750 0.000 0.279
Ce 0.250 0.279 0.279
Ce 0.500 0.667 0.333
Ce 0.000 0.667 0.333
Ce 0.750 0.721 0.721
Ce 0.000 0.333 0.667
Ce 0.750 0.279 0.000
Al 0.000 0.000 0.000
Al 0.500 0.000 0.000


(2)
The following is a PBE-GGA calculation of a relaxed Ce6AlSn2 crystal, from the Alexandria database.

Results
* E_form: -303 meV per atom

abc: 3.146 8.995 8.995
angles: 120.00 90.00 90.00
Positions (direct):
Ce 0.500 0.680 0.000
Ce 0.500 0.320 0.000
Ce 0.500 0.320 0.320
Ce 0.500 0.000 0.680
Ce 0.500 0.680 0.680
Ce 0.500 0.000 0.320
Sn 0.000 0.333 0.667
Sn 0.000 0.667 0.333
Al 0.000 0.000 0.000


(3)
The following is a PBE-GGA calculation of a relaxed CeAl4Sn crystal, from the Alexandria database.

Results
* E_form: -161 meV per atom

abc: 5.600 5.600 5.600
angles: 60.00 60.00 60.00
Positions (direct):
Sn 0.000 0.000 0.000
Al 0.625 0.625 0.625
Al 0.625 0.124 0.625
Al 0.124 0.625 0.625
Al 0.625 0.625 0.124
Ce 0.250 0.250 0.250


(4)
The following is a PBE-GGA calculation of a relaxed Ce6AlSn crystal, from the Alexandria database.

Results
* E_form: -280 meV per atom

abc: 4.732 4.732 9.466
angles: 90.00 90.00 90.00
Positions (direct):
Ce 0.500 0.500 0.000
Ce 0.000 0.500 0.256
Ce 0.500 0.000 0.256
Ce 0.000 0.500 0.744
Ce 0.500 0.000 0.744
Ce 0.500 0.500 0.500
Al 0.000 0.000 0.500
Sn 0.000 0.000 0.000


(5)
The following is a PBE-GGA calculation of a relaxed CeAlSn crystal, from the Alexandria database.

Results
* E_form: -135 meV per atom

abc: 3.970 3.970 9.081
angles: 90.00 90.00 90.00
Positions (direct):
Ce 0.000 0.500 0.571
Ce 0.500 0.000 0.429
Sn 0.000 0.500 0.220
Sn 0.500 0.000 0.780
Al 0.500 0.000 0.086
Al 0.000 0.500 0.914


(6)
The following is a PBE-GGA calculation of a relaxed CeTmAlSn crystal, from the Alexandria database.

Results
* E_form: -402 meV per atom

abc: 5.254 5.254 5.254
angles: 60.00 60.00 60.00
Positions (direct):
Sn 0.250 0.250 0.250
Ce 0.000 0.000 0.000
Tm 0.500 0.500 0.500
Al 0.750 0.750 0.750


(7)
The following is a PBE-GGA calculation of a relaxed CeYAlSn crystal, from the Alexandria database.

Results
* E_form: -423 meV per atom

abc: 5.294 5.294 5.294
angles: 60.00 60.00 60.00
Positions (direct):
Ce 0.250 0.250 0.250
Sn 0.000 0.000 0.000
Al 0.500 0.500 0.500
Y 0.750 0.750 0.750


(8)
The following is a PBE-GGA calculation of a relaxed SrCeAl2 crystal, from the Alexandria database.

Results
* E_form: -153 meV per atom

abc: 3.463 3.463 8.835
angles: 90.00 90.00 90.00
Positions (direct):
Al 0.000 0.000 0.233
Al 0.000 0.000 0.767
Sr 0.500 0.500 0.500
Ce 0.500 0.500 0.000


(9)
The following is a PBE-GGA calculation of a relaxed Sr2CeAl9 crystal, from the Alexandria database.

Results
* E_form: -250 meV per atom

abc: 5.726 5.726 9.634
angles: 72.71 72.71 60.00
Positions (direct):
Al 0.925 0.419 0.238
Al 0.335 0.335 0.996
Al 0.581 0.581 0.762
Al 0.075 0.581 0.762
Al 0.581 0.075 0.762
Al 0.500 0.500 0.500
Al 0.419 0.419 0.238
Al 0.419 0.925 0.238
Al 0.665 0.665 0.004
Ce 0.000 0.000 0.000
Sr 0.859 0.859 0.424
Sr 0.141 0.141 0.576


(10)
The following is a PBE-GGA calculation of a relaxed SrCeAlTl crystal, from the Alexandria database.

Results
* E_form: -169 meV per atom

abc: 5.526 5.526 5.526
angles: 60.00 60.00 60.00
Positions (direct):
Tl 0.750 0.750 0.750
Sr 0.500 0.500 0.500
Ce 0.000 0.000 0.000
Al 0.250 0.250 0.250


(11)
The following is a PBE-GGA calculation of a relaxed Ce2TaAl6 crystal, from the Alexandria database.

Results
* E_form: -234 meV per atom

abc: 7.918 7.918 3.253
angles: 90.00 90.00 120.00
Positions (direct):
Al 0.000 0.679 0.500
Al 0.321 0.321 0.500
Al 0.321 0.000 0.500
Al 0.679 0.679 0.500
Al 0.000 0.321 0.500
Al 0.679 0.000 0.500
Ta 0.000 0.000 0.000
Ce 0.667 0.333 0.000
Ce 0.333 0.667 0.000


(12)
The following is a PBE-GGA calculation of a relaxed Ce2TaAl crystal, from the Alexandria database.

Results
* E_form: 274 meV per atom

abc: 3.008 3.008 11.345
angles: 82.38 82.38 60.00
Positions (direct):
Al 0.500 0.500 0.500
Ce 0.914 0.914 0.257
Ce 0.086 0.086 0.743
Ta 0.000 0.000 0.000


(13)
The following is a PBE-GGA calculation of a relaxed TbCe2Al6 crystal, from the Alexandria database.

Results
* E_form: -439 meV per atom

abc: 3.530 7.990 7.990
angles: 120.00 90.00 90.00
Positions (direct):
Ce 0.000 0.333 0.667
Ce 0.000 0.667 0.333
Al 0.500 0.668 0.000
Al 0.500 0.332 0.000
Al 0.500 0.000 0.332
Al 0.500 0.668 0.668
Al 0.500 0.000 0.668
Al 0.500 0.332 0.332
Tb 0.000 0.000 0.000


(14)
The following is a PBE-GGA calculation of a relaxed TbCeAl6 crystal, from the Alexandria database.

Results
* E_form: -428 meV per atom

abc: 4.640 6.339 6.339
angles: 119.99 90.00 90.00
Positions (direct):
Al 0.500 0.459 0.104
Al 0.000 0.605 0.960
Al 0.500 0.896 0.541
Al 0.500 0.896 0.104
Al 0.000 0.040 0.395
Al 0.000 0.605 0.395
Ce 0.500 0.417 0.583
Tb 0.000 0.083 0.917


(15)
The following is a PBE-GGA calculation of a relaxed TbCe2Al crystal, from the Alexandria database.

Results
* E_form: -61 meV per atom

abc: 3.945 3.945 7.127
angles: 90.00 90.00 90.00
Positions (direct):
Al 0.500 0.500 0.000
Ce 0.000 0.000 0.803
Ce 0.000 0.000 0.197
Tb 0.500 0.500 0.500


(16)
The following is a PBE-GGA calculation of a relaxed Tb5CeAl3 crystal, from the Alexandria database.

Results
* E_form: -249 meV per atom

abc: 6.611 9.131 9.131
angles: 120.00 90.00 90.00
Positions (direct):
Al 0.750 0.000 0.661
Al 0.250 0.000 0.339
Al 0.750 0.339 0.339
Al 0.250 0.661 0.661
Al 0.250 0.339 0.000
Al 0.750 0.661 0.000
Tb 0.750 0.000 0.328
Tb 0.750 0.328 0.000
Tb 0.000 0.333 0.667
Tb 0.250 0.328 0.328
Tb 0.000 0.667 0.333
Tb 0.750 0.672 0.672
Tb 0.500 0.667 0.333
Tb 0.250 0.672 0.000
Tb 0.250 0.000 0.672
Tb 0.500 0.333 0.667
Ce 0.500 0.000 0.000
Ce 0.000 0.000 0.000


(17)
The following is a PBE-GGA calculation of a relaxed Tb4CeAl2 crystal, from the Alexandria database.

Results
* E_form: -68 meV per atom

abc: 8.262 6.505 8.063
angles: 90.00 117.47 90.00
Positions (direct):
Ce 0.250 0.750 0.318
Ce 0.750 0.250 0.682
Tb 0.566 0.495 0.238
Tb 0.046 0.250 0.550
Tb 0.566 0.005 0.238
Tb 0.904 0.250 0.113
Tb 0.096 0.750 0.887
Tb 0.434 0.505 0.762
Tb 0.954 0.750 0.450
Tb 0.434 0.995 0.762
Al 0.331 0.250 0.389
Al 0.796 0.750 0.016
Al 0.204 0.250 0.984
Al 0.669 0.750 0.611


(18)
The following is a PBE-GGA calculation of a relaxed Tb5Ce2Al4 crystal, from the Alexandria database.

Results
* E_form: -53 meV per atom

abc: 3.523 8.756 11.098
angles: 113.23 99.13 90.00
Positions (direct):
Al 0.281 0.281 0.562
Al 0.719 0.719 0.438
Al 0.000 0.270 0.000
Al 0.000 0.730 0.000
Ce 0.570 0.570 0.140
Ce 0.430 0.430 0.860
Tb 0.840 0.060 0.679
Tb 0.160 0.380 0.321
Tb 0.840 0.620 0.679
Tb 0.500 0.000 0.000
Tb 0.160 0.940 0.321


(19)
The following is a PBE-GGA calculation of a relaxed Tb5CeAl6 crystal, from the Alexandria database.

Results
* E_form: -371 meV per atom

abc: 5.128 7.252 8.888
angles: 65.92 73.29 90.00
Positions (direct):
Al 0.500 0.261 0.000
Al 0.169 0.425 0.662
Al 0.500 0.739 0.000
Al 0.831 0.575 0.338
Al 0.831 0.086 0.338
Al 0.169 0.914 0.662
Ce 0.000 0.000 0.000
Tb 0.332 0.332 0.337
Tb 0.668 0.668 0.663
Tb 0.000 0.500 0.000
Tb 0.663 0.163 0.674
Tb 0.337 0.837 0.326


(20)
The following is a PBE-GGA calculation of a relaxed Tb5CeAl4 crystal, from the Alexandria database.

Results
* E_form: -297 meV per atom

abc: 3.444 3.444 21.057
angles: 90.00 90.00 90.00
Positions (direct):
Tb 0.500 0.500 0.500
Tb 0.500 0.500 0.879
Tb 0.500 0.500 0.689
Tb 0.500 0.500 0.121
Tb 0.500 0.500 0.311
Al 0.000 0.000 0.785
Al 0.000 0.000 0.595
Al 0.000 0.000 0.215
Al 0.000 0.000 0.405
Ce 0.000 0.000 0.000


(21)
The following is a PBE-GGA calculation of a relaxed Tb2Ce2Al crystal, from the Alexandria database.

Results
* E_form: 234 meV per atom

abc: 3.797 3.797 10.357
angles: 100.56 100.56 90.00
Positions (direct):
Tb 0.414 0.414 0.828
Tb 0.586 0.586 0.172
Ce 0.750 0.250 0.500
Ce 0.250 0.750 0.500
Al 0.000 0.000 0.000


(22)
The following is a PBE-GGA calculation of a relaxed TbCe3Al8 crystal, from the Alexandria database.

Results
* E_form: -463 meV per atom

abc: 5.624 5.624 9.059
angles: 90.00 90.00 120.00
Positions (direct):
Al 0.990 0.495 0.748
Al 0.162 0.323 0.251
Al 0.333 0.667 0.498
Al 0.677 0.838 0.251
Al 0.505 0.010 0.748
Al 0.162 0.838 0.251
Al 0.333 0.667 0.999
Al 0.505 0.495 0.748
Ce 0.000 0.000 0.933
Ce 0.667 0.333 0.414
Ce 0.667 0.333 0.086
Tb 0.000 0.000 0.571


(23)
The following is a PBE-GGA calculation of a relaxed TbCe2Al crystal, from the Alexandria database.

Results
* E_form: -148 meV per atom

abc: 4.989 4.564 4.564
angles: 90.00 90.00 90.00
Positions (direct):
Ce 0.000 0.500 0.000
Ce 0.000 0.000 0.500
Al 0.500 0.000 0.000
Tb 0.500 0.500 0.500


(24)
The following is a PBE-GGA calculation of a relaxed Tb7CeAl4 crystal, from the Alexandria database.

Results
* E_form: -58 meV per atom

abc: 5.459 9.097 7.499
angles: 76.93 68.65 72.54
Positions (direct):
Al 0.554 0.239 0.653
Al 0.446 0.761 0.347
Al 0.675 0.668 0.983
Al 0.325 0.332 0.017
Tb 0.067 0.607 0.259
Tb 0.210 0.121 0.460
Tb 0.708 0.348 0.236
Tb 0.500 0.000 0.000
Tb 0.933 0.393 0.741
Tb 0.790 0.879 0.540
Tb 0.292 0.652 0.764
Ce 0.000 0.000 0.000